Entry from Alexandria via LeMat-Bulk: a geometry-optimized BaSrCa2 structure (PBEsol).

Lattice parameters (Å, degrees): 4.2278 5.3077 8.4591 90.00 90.00 90.00
Last column: nearest neighbours and their distance in Å.
Fractional positions:
Ba  0.0000  0.0000  0.0000  6 Ca 4.02-4.40, 4 Sr 4.13, 2 Ba 4.23
Sr  0.5000  0.5000  0.7222  5 Ca 3.96-3.97, 4 Ba 4.13, 2 Sr 4.23
Ca  0.0000  0.0000  0.4794  6 Ca 3.89-4.23, 4 Sr 3.97, 1 Ba 4.06
Ca  0.5000  0.5000  0.2547  6 Ca 3.89-4.23, 1 Sr 3.96, 4 Ba 4.02

Results
crystal system: orthorhombic
ΔE to the lowest computed polymorph: 1 meV/atom
total magnetization: 0.00 μB per cell
ΔE_f: 0.019 eV per atom
symmetry: Pmm2
raw total energy: -2.044 eV/atom

=====

Entry from Alexandria via LeMat-Bulk: a geometry-optimized BaSrCa2 structure (PBEsol).

Lattice parameters (Å, degrees): 4.1043 4.1043 11.3469 90.00 90.00 90.00
Last column: nearest neighbours and their distance in Å.
Fractional positions:
Ba  0.0000  0.0000  0.0000  4 Ba 4.10, 8 Ca 4.12
Sr  0.0000  0.0000  0.5000  8 Ca 4.00, 4 Sr 4.10
Ca  0.5000  0.5000  0.2575  4 Sr 4.00, 4 Ca 4.10, 4 Ba 4.12
Ca  0.5000  0.5000  0.7425  4 Sr 4.00, 4 Ca 4.10, 4 Ba 4.12

Results
crystal system: tetragonal
ΔE to the lowest computed polymorph: 9 meV/atom
total magnetization: 0.00 μB per cell
ΔE_f: 0.027 eV per atom
symmetry: P4/mmm
raw total energy: -2.037 eV/atom

=====

Entry from Alexandria via LeMat-Bulk: a geometry-optimized BaSrCa2 structure (PBEsol).

Lattice parameters (Å, degrees): 3.9196 6.3600 7.6147 90.00 101.17 90.00
Last column: nearest neighbours and their distance in Å.
Fractional positions:
Ba  0.0000  0.0000  0.0000  2 Ba 3.92, 2 Sr 3.93, 4 Ca 3.94
Sr  0.5000  0.0000  0.5000  4 Ca 3.92, 2 Sr 3.92, 2 Ba 3.93
Ca  0.2516  0.5000  0.7482  4 Ca 3.91-3.95, 2 Sr 3.92, 2 Ba 3.94
Ca  0.7484  0.5000  0.2518  4 Ca 3.91-3.95, 2 Sr 3.92, 2 Ba 3.94

Results
crystal system: monoclinic
ΔE to the lowest computed polymorph: 8 meV/atom
total magnetization: 0.00 μB per cell
ΔE_f: 0.026 eV per atom
symmetry: P2/m
raw total energy: -2.038 eV/atom

=====

Entry from Alexandria via LeMat-Bulk: a geometry-optimized BaSrCa2 structure (PBEsol).

Lattice parameters (Å, degrees): 7.6006 7.6006 7.6006 145.87 129.19 62.64
Last column: nearest neighbours and their distance in Å.
Fractional positions:
Ba  0.0000  0.0000  0.0000  6 Ca 3.95-4.00, 2 Sr 4.09
Sr  0.7360  0.2360  0.5000  6 Ca 3.92-3.96, 2 Ba 4.09
Ca  0.2553  0.7553  0.5000  2 Ca 3.76, 4 Sr 3.96, 2 Ba 4.00
Ca  0.4881  0.4881  0.0000  2 Ca 3.76, 2 Sr 3.92, 4 Ba 3.95

Results
crystal system: orthorhombic
ΔE to the lowest computed polymorph: 9 meV/atom
total magnetization: 0.00 μB per cell
ΔE_f: 0.027 eV per atom
symmetry: Imm2
raw total energy: -2.037 eV/atom

=====

Entry from Alexandria via LeMat-Bulk: a geometry-optimized BaCaTa structure (PBEsol).

Lattice parameters (Å, degrees): 5.9509 5.9509 5.9509 149.48 126.89 62.50
Last column: nearest neighbours and their distance in Å.
Fractional positions:
Ba  0.0000  0.0000  0.0000  2 Ba 3.13, 1 Ca 3.27, 5 Ta 3.44-3.50
Ca  0.3218  0.3218  0.0000  2 Ca 3.13, 1 Ba 3.27, 5 Ta 3.46-3.49
Ta  0.6622  0.6622  0.0000  2 Ta 3.13, 5 Ba 3.44-3.50, 5 Ca 3.46-3.49

Results
crystal system: orthorhombic
total magnetization: 0.00 μB per cell
ΔE_f: 1.015 eV per atom
symmetry: Imm2
raw total energy: -4.596 eV/atom

=====

Entry from Alexandria via LeMat-Bulk: a geometry-optimized BaCaTa2 structure (PBEsol).

Lattice parameters (Å, degrees): 5.7631 5.7631 6.3384 93.38 93.38 30.57
Last column: nearest neighbours and their distance in Å.
Fractional positions:
Ba  0.0000  0.0000  0.0000  2 Ba 3.04
Ca  0.5000  0.5000  0.5000  2 Ca 3.04, 6 Ta 3.12-3.25
Ta  0.2438  0.2438  0.6765  4 Ta 2.72-3.04
Ta  0.7562  0.7562  0.3235  4 Ta 2.72-3.04

Results
crystal system: monoclinic
ΔE to the lowest computed polymorph: 81 meV/atom
total magnetization: 0.00 μB per cell
ΔE_f: 0.980 eV per atom
symmetry: C2/m
raw total energy: -6.366 eV/atom

=====

Entry from Alexandria via LeMat-Bulk: a geometry-optimized BaCaTa2 structure (PBEsol).

Lattice parameters (Å, degrees): 6.5798 6.5798 6.5798 150.69 126.52 62.15
Last column: nearest neighbours and their distance in Å.
Fractional positions:
Ba  0.0000  0.0000  0.0000  2 Ba 3.33, 6 Ta 3.43-3.47
Ca  0.2977  0.7977  0.5000  2 Ca 3.33, 6 Ta 3.43-3.47
Ta  0.5642  0.5642  0.0000  2 Ta 2.54
Ta  0.7342  0.2342  0.5000  2 Ta 2.54

Results
crystal system: orthorhombic
ΔE to the lowest computed polymorph: 0 meV/atom
total magnetization: 0.00 μB per cell
ΔE_f: 0.899 eV per atom
symmetry: Imm2
raw total energy: -6.447 eV/atom

=====

Entry from Alexandria via LeMat-Bulk: a geometry-optimized BaCa2Tc structure (PBEsol).

Lattice parameters (Å, degrees): 3.6176 3.6176 9.7007 90.00 90.00 90.00
Last column: nearest neighbours and their distance in Å.
Fractional positions:
Ba  0.0000  0.0000  0.0000  4 Tc 3.22, 1 Ca 3.55
Ca  0.0000  0.0000  0.6340  4 Tc 3.01
Ca  0.5000  0.5000  0.3413  8 Ca 3.62-3.82
Tc  0.5000  0.5000  0.7984  4 Ca 3.01, 4 Ba 3.22

Results
crystal system: tetragonal
ΔE to the lowest computed polymorph: 47 meV/atom
total magnetization: 0.99 μB per cell
ΔE_f: 0.631 eV per atom
symmetry: P4mm
raw total energy: -3.789 eV/atom

=====

Entry from Alexandria via LeMat-Bulk: a geometry-optimized BaCa2Tc structure (PBEsol).

Lattice parameters (Å, degrees): 5.4273 5.4273 5.4273 60.00 60.00 60.00
Last column: nearest neighbours and their distance in Å.
Fractional positions:
Ba  0.0000  0.0000  0.0000  4 Tc 3.32, 4 Ca 3.32
Ca  0.2500  0.2500  0.2500  4 Ba 3.32, 4 Ca 3.32
Ca  0.5000  0.5000  0.5000  4 Tc 3.32, 4 Ca 3.32
Tc  0.7500  0.7500  0.7500  4 Ba 3.32, 4 Ca 3.32

Results
crystal system: cubic
ΔE to the lowest computed polymorph: 173 meV/atom
total magnetization: 0.80 μB per cell
ΔE_f: 0.757 eV per atom
symmetry: F-43m
raw total energy: -3.664 eV/atom

=====

Entry from Alexandria via LeMat-Bulk: a geometry-optimized BaCa2Tc structure (PBEsol).

Lattice parameters (Å, degrees): 11.2030 11.2030 11.2030 18.71 18.71 18.71
Last column: nearest neighbours and their distance in Å.
Fractional positions:
Ba  0.0000  0.0000  0.0000  3 Tc 2.98
Ca  0.2275  0.2275  0.2275  9 Ca 3.64-3.98, 3 Ba 4.08
Ca  0.4586  0.4586  0.4586  3 Tc 2.92
Tc  0.7306  0.7306  0.7306  3 Ca 2.92, 3 Ba 2.98

Results
crystal system: trigonal
ΔE to the lowest computed polymorph: 129 meV/atom
total magnetization: 0.00 μB per cell
ΔE_f: 0.713 eV per atom
symmetry: R3m
raw total energy: -3.708 eV/atom

=====

Entry from Alexandria via LeMat-Bulk: a geometry-optimized BaCa2Tc structure (PBEsol).

Lattice parameters (Å, degrees): 3.5090 3.5090 10.3847 90.00 90.00 90.00
Last column: nearest neighbours and their distance in Å.
Fractional positions:
Ba  0.0000  0.0000  0.0000  4 Ba 3.51
Ca  0.5000  0.5000  0.3310  4 Tc 3.04
Ca  0.5000  0.5000  0.6690  4 Tc 3.04
Tc  0.0000  0.0000  0.5000  8 Ca 3.04

Results
crystal system: tetragonal
ΔE to the lowest computed polymorph: 0 meV/atom
total magnetization: 2.04 μB per cell
ΔE_f: 0.584 eV per atom
symmetry: P4/mmm
raw total energy: -3.837 eV/atom

=====

Entry from Alexandria via LeMat-Bulk: a geometry-optimized BaCa2Tc structure (PBEsol).

Lattice parameters (Å, degrees): 4.8157 4.8157 4.9634 90.00 90.00 90.00
Last column: nearest neighbours and their distance in Å.
Fractional positions:
Ba  0.0000  0.0000  0.0000  4 Tc 3.41, 8 Ca 3.46
Ca  0.0000  0.5000  0.5000  4 Ca 3.41, 4 Ba 3.46, 4 Tc 3.46
Ca  0.5000  0.0000  0.5000  4 Ca 3.41, 4 Ba 3.46, 4 Tc 3.46
Tc  0.5000  0.5000  0.0000  4 Ba 3.41, 8 Ca 3.46

Results
crystal system: tetragonal
ΔE to the lowest computed polymorph: 199 meV/atom
total magnetization: 1.01 μB per cell
ΔE_f: 0.782 eV per atom
symmetry: P4/mmm
raw total energy: -3.638 eV/atom